(1)
This record from the Alexandria database describes Cs2AlPt after structural relaxation. The functional is GGA-PBEsol.

Computed properties:
Energy above the lowest structure with this stoichiometry, meV/atom: 650
Formation energy from the elements, eV/atom: 0.6307

Structure (POSCAR):
```
Cs2AlPt
1.0
0.000 4.013 4.013
4.013 0.000 4.013
4.013 4.013 0.000
Cs Al Pt
2 1 1
Cartesian
2.007 2.007 2.007
6.020 6.020 6.020
0.000 0.000 0.000
4.013 4.013 4.013
```


(2)
This record from the Alexandria database describes Cs2AlPt after structural relaxation. The functional is GGA-PBEsol.

Computed properties:
Energy above the lowest structure with this stoichiometry, meV/atom: 0
Formation energy from the elements, eV/atom: -0.0198

Structure (POSCAR):
```
Cs2AlPt
1.0
-6.333 6.333 2.394
6.333 -6.333 2.394
6.333 6.333 -2.394
Cs Al Pt
4 2 2
Cartesian
0.971 3.166 0.598
-3.166 5.362 1.795
-0.971 9.499 0.598
3.166 7.303 1.795
6.333 0.000 1.197
0.000 0.000 2.394
0.000 0.000 0.000
0.000 6.333 1.197
```


(3)
This record from the Alexandria database describes Cs2AlRuPt after structural relaxation. The functional is GGA-PBEsol.

Computed properties:
Formation energy from the elements, eV/atom: 1.3752

Structure (POSCAR):
```
Cs2AlRuPt
1.0
6.467 0.000 0.000
0.000 6.467 0.000
0.000 0.000 4.595
Cs Al Ru Pt
2 1 1 1
Cartesian
0.000 3.233 0.000
3.233 0.000 0.000
0.000 0.000 0.000
0.000 0.000 2.297
3.233 3.233 2.297
```


(4)
This record from the Alexandria database describes Cs3RbAl after structural relaxation. The functional is GGA-PBEsol.

Computed properties:
Formation energy from the elements, eV/atom: 0.2962

Structure (POSCAR):
```
Cs3RbAl
1.0
7.413 0.000 0.000
0.000 7.413 0.000
0.000 0.000 7.413
Cs Rb Al
3 1 1
Cartesian
0.000 0.000 3.707
0.000 3.707 0.000
3.707 0.000 0.000
3.707 3.707 3.707
0.000 0.000 0.000
```


(5)
This record from the Alexandria database describes CsRbAl3 after structural relaxation. The functional is GGA-PBEsol.

Computed properties:
Formation energy from the elements, eV/atom: 1.3154

Structure (POSCAR):
```
CsRbAl3
1.0
6.138 0.000 0.000
0.000 6.138 0.000
0.000 0.000 6.138
Cs Rb Al
1 1 3
Cartesian
0.000 0.000 0.000
3.069 3.069 3.069
0.000 0.000 3.069
0.000 3.069 0.000
3.069 0.000 0.000
```


(6)
This record from the Alexandria database describes Cs2RbTaAl after structural relaxation. The functional is GGA-PBEsol.

Computed properties:
Formation energy from the elements, eV/atom: 1.9763

Structure (POSCAR):
```
Cs2RbTaAl
1.0
6.642 0.000 0.000
0.000 6.642 0.000
0.000 0.000 5.839
Cs Rb Ta Al
2 1 1 1
Cartesian
0.000 3.321 0.000
3.321 0.000 0.000
0.000 0.000 0.000
3.321 3.321 2.919
0.000 0.000 2.919
```


(7)
This record from the Alexandria database describes CsAlS3 after structural relaxation. The functional is GGA-PBEsol.

Computed properties:
Energy relative to the elements, uncorrected, kJ/mol of atoms: 117

Structure (POSCAR):
```
CsAlS3
1.0
5.466 0.000 0.000
0.000 5.466 0.000
0.000 0.000 5.466
Cs Al S
1 1 3
Cartesian
0.000 0.000 0.000
2.733 2.733 2.733
0.000 0.000 2.733
0.000 2.733 0.000
2.733 0.000 0.000
```


(8)
This record from the Alexandria database describes Cs3AlSb after structural relaxation. The functional is GGA-PBEsol.

Computed properties:
Energy relative to the elements, uncorrected, kJ/mol of atoms: 49

Structure (POSCAR):
```
Cs3AlSb
1.0
6.669 0.000 0.000
0.000 6.669 0.000
0.000 0.000 6.669
Cs Al Sb
3 1 1
Cartesian
0.000 0.000 3.334
0.000 3.334 0.000
3.334 0.000 0.000
0.000 0.000 0.000
3.334 3.334 3.334
```


(9)
This record from the Alexandria database describes CsAlSe2 after structural relaxation. The functional is GGA-PBEsol.

Computed properties:
Energy relative to the elements, uncorrected, kJ/mol of atoms: -105

Structure (POSCAR):
```
CsAlSe2
1.0
-3.774 3.774 4.399
3.774 -3.774 4.399
3.774 3.774 -4.399
Cs Al Se
2 2 4
Cartesian
0.000 0.000 0.000
0.000 3.774 2.199
3.774 0.000 2.199
0.000 0.000 4.399
1.887 -1.013 3.299
2.761 1.887 1.100
1.887 4.786 -1.100
1.013 1.887 5.498
```


(10)
This record from the Alexandria database describes CsAlSe2 after structural relaxation. The functional is GGA-PBEsol.

Computed properties:
Energy relative to the elements, uncorrected, kJ/mol of atoms: -56

Structure (POSCAR):
```
CsAlSe2
1.0
2.879 1.662 7.354
-2.879 1.662 7.354
0.000 -3.324 7.354
Cs Al Se
1 1 2
Cartesian
0.000 0.000 0.000
0.000 0.000 11.031
0.000 0.000 8.842
0.000 0.000 13.219
```


(11)
This record from the Alexandria database describes CsAlSiSe2 after structural relaxation. The functional is GGA-PBEsol.

Computed properties:
Energy relative to the elements, uncorrected, kJ/mol of atoms: -12

Structure (POSCAR):
```
CsAlSiSe2
1.0
5.178 0.000 0.000
0.000 5.178 0.000
0.000 0.000 4.858
Cs Al Si Se
1 1 1 2
Cartesian
0.000 0.000 0.000
2.589 2.589 2.429
2.589 2.589 0.000
0.000 2.589 2.429
2.589 0.000 2.429
```


(12)
This record from the Alexandria database describes Cs3AlSn after structural relaxation. The functional is GGA-PBEsol.

Computed properties:
Formation energy from the elements, eV/atom: 0.5947

Structure (POSCAR):
```
Cs3AlSn
1.0
7.241 0.000 0.000
0.000 7.241 0.000
0.000 0.000 7.241
Cs Al Sn
3 1 1
Cartesian
0.000 0.000 3.620
0.000 3.620 0.000
3.620 0.000 0.000
3.620 3.620 3.620
0.000 0.000 0.000
```


(13)
This record from the Alexandria database describes CsSr2Al2 after structural relaxation. The functional is GGA-PBEsol.

Computed properties:
Formation energy from the elements, eV/atom: 0.0961

Structure (POSCAR):
```
CsSr2Al2
1.0
9.530 0.000 0.000
0.000 9.530 0.000
0.000 0.000 3.737
Cs Sr Al
2 4 4
Cartesian
0.000 0.000 0.000
4.765 4.765 0.000
1.687 3.078 0.000
3.078 7.844 0.000
6.452 1.687 0.000
7.844 6.452 0.000
1.023 5.788 1.868
3.742 1.023 1.868
5.788 8.507 1.868
8.507 3.742 1.868
```


(14)
This record from the Alexandria database describes CsSrAl2 after structural relaxation. The functional is GGA-PBEsol.

Computed properties:
Formation energy from the elements, eV/atom: 0.3931

Structure (POSCAR):
```
CsSrAl2
1.0
0.000 4.075 4.075
4.075 0.000 4.075
4.075 4.075 0.000
Cs Sr Al
1 1 2
Cartesian
0.000 0.000 0.000
4.075 4.075 4.075
2.037 2.037 2.037
6.112 6.112 6.112
```


(15)
This record from the Alexandria database describes CsSr3Al after structural relaxation. The functional is GGA-PBEsol.

Computed properties:
Formation energy from the elements, eV/atom: 1.0361

Structure (POSCAR):
```
CsSr3Al
1.0
5.976 0.000 0.000
0.000 5.976 0.000
0.000 0.000 5.976
Cs Sr Al
1 3 1
Cartesian
0.000 0.000 0.000
0.000 0.000 2.988
0.000 2.988 0.000
2.988 0.000 0.000
2.988 2.988 2.988
```


(16)
This record from the Alexandria database describes CsAlTe2 after structural relaxation. The functional is GGA-PBEsol.

Computed properties:
Energy relative to the elements, uncorrected, kJ/mol of atoms: -72

Structure (POSCAR):
```
CsAlTe2
1.0
-4.105 4.105 4.559
4.105 -4.105 4.559
4.105 4.105 -4.559
Cs Al Te
2 2 4
Cartesian
0.000 0.000 0.000
0.000 4.105 2.280
4.105 0.000 2.280
0.000 0.000 4.559
2.052 -1.189 3.420
2.916 2.052 1.140
2.052 5.294 -1.140
1.189 2.052 5.699
```


(17)
This record from the Alexandria database describes Cs3AlTe3 after structural relaxation. The functional is GGA-PBEsol.

Computed properties:
Energy relative to the elements, uncorrected, kJ/mol of atoms: -92

Structure (POSCAR):
```
Cs3AlTe3
1.0
9.040 0.000 0.000
0.000 14.254 0.000
-7.115 0.000 9.585
Cs Al Te
12 4 12
Cartesian
-1.769 2.729 3.869
-5.327 4.398 8.662
2.398 8.240 1.062
-1.159 13.141 5.854
-0.303 8.890 4.958
3.254 12.491 0.166
-1.330 1.763 9.419
2.228 5.364 4.626
3.084 1.113 3.731
-0.474 6.014 8.523
7.251 9.856 0.923
3.694 11.525 5.715
-4.078 7.957 6.325
-0.520 13.424 1.532
2.445 0.830 8.052
6.002 6.297 3.260
-4.196 0.807 7.054
-0.638 6.320 2.262
0.517 1.574 1.062
-3.041 5.553 5.855
-2.549 9.510 7.771
1.009 11.871 2.979
0.916 2.383 6.606
4.474 4.744 1.814
4.965 8.701 3.730
1.407 12.680 8.522
2.563 7.934 7.323
6.120 13.447 2.530
```


(18)
This record from the Alexandria database describes Cs3AlTl after structural relaxation. The functional is GGA-PBEsol.

Computed properties:
Formation energy from the elements, eV/atom: 0.5643

Structure (POSCAR):
```
Cs3AlTl
1.0
7.077 0.000 0.000
0.000 7.077 0.000
0.000 0.000 7.077
Cs Al Tl
3 1 1
Cartesian
0.000 0.000 3.539
0.000 3.539 0.000
3.539 0.000 0.000
3.539 3.539 3.539
0.000 0.000 0.000
```


(19)
This record from the Alexandria database describes CsZr2AlW after structural relaxation. The functional is GGA-PBEsol.

Computed properties:
Formation energy from the elements, eV/atom: 2.4400

Structure (POSCAR):
```
CsZr2AlW
1.0
5.094 0.000 0.000
0.000 5.094 0.000
0.000 0.000 4.908
Cs Zr Al W
1 2 1 1
Cartesian
0.000 0.000 0.000
0.000 2.547 0.000
2.547 0.000 0.000
2.547 2.547 2.454
0.000 0.000 2.454
```


(20)
This record from the Alexandria database describes Al4Cu5 after structural relaxation. The functional is GGA-PBEsol.

Computed properties:
Energy above the lowest structure with this stoichiometry, meV/atom: 0
Formation energy from the elements, eV/atom: -0.1552

Structure (POSCAR):
```
Al4Cu5
1.0
-3.921 3.921 1.873
3.921 -3.921 1.873
3.921 3.921 -1.873
Al Cu
4 5
Cartesian
2.492 0.000 0.000
5.351 0.000 0.000
0.000 2.492 0.000
0.000 5.351 0.000
0.000 0.000 0.000
2.611 2.611 0.000
1.311 -1.311 1.873
-1.311 1.311 1.873
1.311 1.311 1.873
```


For the records above, the corresponding volume values read 129; 384; 192; 407; 231; 258; 163; 297; 251; 211; 130; 380; 339; 135; 213; 307; 1235; 354; 127; 115 Å³ per cell.